A relaxed structure of Rb2InNi3F12, computed with PBE with a Hubbard U.

Results
- Raw total energy: -4.27 eV per atom
- Density of states at the Fermi level: 1.41 states/eV/cell
- SG: R-3m, No. 166

Geometry as extended XYZ:
```
18
Lattice="-0.0630 6.1505 4.2635 2.9661 0.0599 6.8708 6.2693 3.7817 1.5504" Properties=species:S:1:pos:R:3 pbc="T T T"
Rb 5.6467 6.1513 7.8089
Rb 3.5257 3.8407 4.8758
In 0.0000 0.0000 0.0000
Ni -0.0315 3.0752 2.1317
Ni 1.4831 0.0299 3.4354
Ni 3.1346 1.8909 0.7752
F 6.6750 5.4200 4.9060
F 4.8167 6.9892 10.7306
F 8.4362 5.6352 9.1798
F 2.8282 6.8590 6.5541
F 6.7048 9.1166 7.6894
F 4.6684 3.1590 8.1380
F 2.4974 4.5720 7.7787
F 4.3558 3.0029 1.9542
F 0.7362 4.3568 3.5049
F 6.3442 3.1331 6.1306
F 2.4677 0.8754 4.9953
F 4.5041 6.8330 4.5467
```